Computed, not measured: a relaxed structure of Mn3NiF at the PBE+U level of DFT.

a = 4.7124 Å, b = 4.7124 Å, c = 4.7124 Å
α = 90.00°, β = 90.00°, γ = 90.00°
Last column: magnetic moment on the atom in μB.
Positions (direct):
Ni  0.0000  0.0000  0.0000  0.45
Mn  0.0000  0.5000  0.0000  4.51
Mn  0.0000  0.0000  0.5000  4.50
Mn  0.5000  0.0000  0.0000  4.53
F  0.5000  0.5000  0.5000  0.07

Results
Crystal system: cubic
ΔE to the lowest computed polymorph (eV/atom): 0.189